(1)
# Be2SiOs, relaxed, DFT GGA-PBEsol
data_Be2SiOs
_cell_length_a 2.7157
_cell_length_b 2.7157
_cell_length_c 22.0421
_cell_angle_alpha 90.00
_cell_angle_beta 90.00
_cell_angle_gamma 120.00
_symmetry_space_group_name_H-M 'R 3 m'
_symmetry_Int_Tables_number 160
_symmetry_space_group_name_Hall 'R 3 -2"'
loop_
_atom_site_label
_atom_site_type_symbol
_atom_site_fract_x
_atom_site_fract_y
_atom_site_fract_z
Be1 Be 0.0000 0.0000 0.0000
Be2 Be 0.0000 0.0000 0.2537
Si1 Si 0.0000 0.0000 0.5042
Os1 Os 0.0000 0.0000 0.7503
# V, Å³/atom: 11.7
# Total magnetization, μB/f.u.: 0.0
# Calculated total energy, eV per cell: -75.47
# Uncorrected formation energy, meV/atom: 202

***

(2)
# BeSi2Os, relaxed, DFT GGA-PBEsol
data_BeSi2Os
_cell_length_a 3.6419
_cell_length_b 3.6419
_cell_length_c 3.5811
_cell_angle_alpha 90.00
_cell_angle_beta 90.00
_cell_angle_gamma 90.00
_symmetry_space_group_name_H-M 'P 4/m m m'
_symmetry_Int_Tables_number 123
_symmetry_space_group_name_Hall '-P 4 2'
loop_
_atom_site_label
_atom_site_type_symbol
_atom_site_fract_x
_atom_site_fract_y
_atom_site_fract_z
Be1 Be 0.0000 0.0000 0.0000
Si1 Si 0.0000 0.5000 0.5000
Os1 Os 0.5000 0.5000 0.0000
# V, Å³/atom: 11.9
# Total magnetization, μB/f.u.: 0.0
# Calculated total energy, eV per cell: -27.40
# Uncorrected formation energy, meV/atom: 78

***

(3)
# BeSi2TeOs, relaxed, DFT GGA-PBEsol
data_BeSi2TeOs
_cell_length_a 4.4280
_cell_length_b 4.4280
_cell_length_c 5.9095
_cell_angle_alpha 90.00
_cell_angle_beta 90.00
_cell_angle_gamma 90.00
_symmetry_space_group_name_H-M 'P 4/m m m'
_symmetry_Int_Tables_number 123
_symmetry_space_group_name_Hall '-P 4 2'
loop_
_atom_site_label
_atom_site_type_symbol
_atom_site_fract_x
_atom_site_fract_y
_atom_site_fract_z
Be1 Be 0.0000 0.0000 0.0000
Si1 Si 0.0000 0.5000 0.5000
Te1 Te 0.5000 0.5000 0.0000
Os1 Os 0.5000 0.5000 0.5000
# V, Å³/atom: 23.2
# Total magnetization, μB/f.u.: 0.0
# Calculated total energy, eV per cell: -27.07
# Uncorrected formation energy, meV/atom: 834

***

(4)
# SrBeOs2, relaxed, DFT GGA-PBEsol
data_SrBeOs2
_cell_length_a 2.7863
_cell_length_b 4.0135
_cell_length_c 6.3110
_cell_angle_alpha 90.00
_cell_angle_beta 101.98
_cell_angle_gamma 90.00
_symmetry_space_group_name_H-M 'P 1 2/m 1'
_symmetry_Int_Tables_number 10
_symmetry_space_group_name_Hall '-P 2y'
loop_
_atom_site_label
_atom_site_type_symbol
_atom_site_fract_x
_atom_site_fract_y
_atom_site_fract_z
Sr1 Sr 0.0000 0.0000 0.0000
Be1 Be 0.5000 0.0000 0.5000
Os1 Os 0.3197 0.5000 0.6700
# V, Å³/atom: 17.3
# Total magnetization, μB/f.u.: 0.0
# Calculated total energy, eV per cell: -27.30

***

Summary of mass density in g/cm³
8.4; 8.9; 5.5; 11.5
(order as listed above)
Summary of D(E_F) in states/eV/cell
6.16; 1.50; 2.17; 4.76
(order as listed above)